i.
Entry from OQMD via LeMat-Bulk: a relaxed structure of YTlCoPd (PBE).

a b c (Å): 6.8062 6.8062 6.8062
angles (deg): 90.00 90.00 90.00
Last column: nearest neighbours and their distance in Å.
Fractional coordinates of all 16 atoms:
1 Y 0.0000 0.0000 0.0000  4 Pd 2.95, 4 Tl 2.95
2 Y 0.0000 0.5000 0.5000  4 Tl 2.95, 4 Pd 2.95
3 Y 0.5000 0.0000 0.5000  4 Tl 2.95, 4 Pd 2.95
4 Y 0.5000 0.5000 0.0000  4 Tl 2.95, 4 Pd 2.95
5 Tl 0.2500 0.2500 0.2500  4 Co 2.95, 4 Y 2.95
6 Tl 0.2500 0.7500 0.7500  4 Co 2.95, 4 Y 2.95
7 Tl 0.7500 0.2500 0.7500  4 Co 2.95, 4 Y 2.95
8 Tl 0.7500 0.7500 0.2500  4 Co 2.95, 4 Y 2.95
9 Co 0.0000 0.0000 0.5000  4 Tl 2.95, 4 Pd 2.95
10 Co 0.0000 0.5000 0.0000  4 Tl 2.95, 4 Pd 2.95
11 Co 0.5000 0.0000 0.0000  4 Tl 2.95, 4 Pd 2.95
12 Co 0.5000 0.5000 0.5000  4 Tl 2.95, 4 Pd 2.95
13 Pd 0.2500 0.2500 0.7500  4 Co 2.95, 4 Y 2.95
14 Pd 0.2500 0.7500 0.2500  4 Co 2.95, 4 Y 2.95
15 Pd 0.7500 0.2500 0.2500  4 Co 2.95, 4 Y 2.95
16 Pd 0.7500 0.7500 0.7500  4 Y 2.95, 4 Co 2.95

Space group: F-43m (216)

***

ii.
Entry from OQMD via LeMat-Bulk: a relaxed structure of YTlCoPd (PBE).

a b c (Å): 6.7145 6.7145 6.7145
angles (deg): 90.00 90.00 90.00
Last column: nearest neighbours and their distance in Å.
Fractional coordinates of all 16 atoms:
1 Y 0.0000 0.0000 0.0000  4 Co 2.91, 4 Pd 2.91
2 Y 0.0000 0.5000 0.5000  4 Co 2.91, 4 Pd 2.91
3 Y 0.5000 0.0000 0.5000  4 Co 2.91, 4 Pd 2.91
4 Y 0.5000 0.5000 0.0000  4 Co 2.91, 4 Pd 2.91
5 Tl 0.0000 0.0000 0.5000  4 Co 2.91, 4 Pd 2.91
6 Tl 0.0000 0.5000 0.0000  4 Co 2.91, 4 Pd 2.91
7 Tl 0.5000 0.0000 0.0000  4 Co 2.91, 4 Pd 2.91
8 Tl 0.5000 0.5000 0.5000  4 Co 2.91, 4 Pd 2.91
9 Co 0.2500 0.2500 0.7500  4 Tl 2.91, 4 Y 2.91
10 Co 0.2500 0.7500 0.2500  4 Tl 2.91, 4 Y 2.91
11 Co 0.7500 0.2500 0.2500  4 Tl 2.91, 4 Y 2.91
12 Co 0.7500 0.7500 0.7500  4 Y 2.91, 4 Tl 2.91
13 Pd 0.2500 0.2500 0.2500  4 Tl 2.91, 4 Y 2.91
14 Pd 0.2500 0.7500 0.7500  4 Tl 2.91, 4 Y 2.91
15 Pd 0.7500 0.2500 0.7500  4 Tl 2.91, 4 Y 2.91
16 Pd 0.7500 0.7500 0.2500  4 Tl 2.91, 4 Y 2.91

Space group: F-43m (216)

***

It is ii that is most stable; the runner-up trails by 0.200 eV/atom.

***

i.
Entry from OQMD via LeMat-Bulk: a relaxed structure of UCoPd (PBE).

a b c (Å): 6.2262 6.2262 6.2262
angles (deg): 90.00 90.00 90.00
Last column: nearest neighbours and their distance in Å.
Fractional coordinates of all 12 atoms:
1 U 0.0000 0.0000 0.0000  4 Co 2.70, 4 Pd 2.70
2 U 0.0000 0.5000 0.5000  4 Co 2.70, 4 Pd 2.70
3 U 0.5000 0.0000 0.5000  4 Co 2.70, 4 Pd 2.70
4 U 0.5000 0.5000 0.0000  4 Co 2.70, 4 Pd 2.70
5 Co 0.2500 0.2500 0.7500  4 U 2.70
6 Co 0.2500 0.7500 0.2500  4 U 2.70
7 Co 0.7500 0.2500 0.2500  4 U 2.70
8 Co 0.7500 0.7500 0.7500  4 U 2.70
9 Pd 0.2500 0.2500 0.2500  4 U 2.70
10 Pd 0.2500 0.7500 0.7500  4 U 2.70
11 Pd 0.7500 0.2500 0.7500  4 U 2.70
12 Pd 0.7500 0.7500 0.2500  4 U 2.70

Space group: F-43m (216)

***

ii.
Entry from OQMD via LeMat-Bulk: a relaxed structure of UCoPd (PBE).

a b c (Å): 6.0669 6.0669 6.0669
angles (deg): 90.00 90.00 90.00
Last column: nearest neighbours and their distance in Å.
Fractional coordinates of all 12 atoms:
1 U 0.0000 0.0000 0.0000  4 Co 2.63
2 U 0.0000 0.5000 0.5000  4 Co 2.63
3 U 0.5000 0.0000 0.5000  4 Co 2.63
4 U 0.5000 0.5000 0.0000  4 Co 2.63
5 Co 0.2500 0.2500 0.7500  4 Pd 2.63, 4 U 2.63
6 Co 0.2500 0.7500 0.2500  4 Pd 2.63, 4 U 2.63
7 Co 0.7500 0.2500 0.2500  4 Pd 2.63, 4 U 2.63
8 Co 0.7500 0.7500 0.7500  4 Pd 2.63, 4 U 2.63
9 Pd 0.0000 0.0000 0.5000  4 Co 2.63
10 Pd 0.0000 0.5000 0.0000  4 Co 2.63
11 Pd 0.5000 0.0000 0.0000  4 Co 2.63
12 Pd 0.5000 0.5000 0.5000  4 Co 2.63

Space group: F-43m (216)

***

It is ii that is most stable; the runner-up trails by 0.352 eV/atom.

***

i.
Entry from OQMD via LeMat-Bulk: a relaxed structure of ZnCoPdW (PBE).

a b c (Å): 6.0830 6.0830 6.0830
angles (deg): 90.00 90.00 90.00
Last column: nearest neighbours and their distance in Å.
Fractional coordinates of all 16 atoms:
1 Zn 0.0000 0.0000 0.0000  4 Co 2.63, 4 Pd 2.63
2 Zn 0.0000 0.5000 0.5000  4 Co 2.63, 4 Pd 2.63
3 Zn 0.5000 0.0000 0.5000  4 Co 2.63, 4 Pd 2.63
4 Zn 0.5000 0.5000 0.0000  4 Co 2.63, 4 Pd 2.63
5 Co 0.2500 0.2500 0.2500  4 W 2.63, 4 Zn 2.63
6 Co 0.2500 0.7500 0.7500  4 W 2.63, 4 Zn 2.63
7 Co 0.7500 0.2500 0.7500  4 W 2.63, 4 Zn 2.63
8 Co 0.7500 0.7500 0.2500  4 W 2.63, 4 Zn 2.63
9 Pd 0.2500 0.2500 0.7500  4 W 2.63, 4 Zn 2.63
10 Pd 0.2500 0.7500 0.2500  4 W 2.63, 4 Zn 2.63
11 Pd 0.7500 0.2500 0.2500  4 W 2.63, 4 Zn 2.63
12 Pd 0.7500 0.7500 0.7500  4 W 2.63, 4 Zn 2.63
13 W 0.0000 0.0000 0.5000  4 Pd 2.63, 4 Co 2.63
14 W 0.0000 0.5000 0.0000  4 Pd 2.63, 4 Co 2.63
15 W 0.5000 0.0000 0.0000  4 Pd 2.63, 4 Co 2.63
16 W 0.5000 0.5000 0.5000  4 Pd 2.63, 4 Co 2.63

Space group: F-43m (216)

***

ii.
Entry from OQMD via LeMat-Bulk: a relaxed structure of ZnCoPdW (PBE).

a b c (Å): 6.0822 6.0822 6.0822
angles (deg): 90.00 90.00 90.00
Last column: nearest neighbours and their distance in Å.
Fractional coordinates of all 16 atoms:
1 Zn 0.0000 0.0000 0.0000  4 W 2.63, 4 Co 2.63
2 Zn 0.0000 0.5000 0.5000  4 W 2.63, 4 Co 2.63
3 Zn 0.5000 0.0000 0.5000  4 W 2.63, 4 Co 2.63
4 Zn 0.5000 0.5000 0.0000  4 W 2.63, 4 Co 2.63
5 Co 0.2500 0.2500 0.2500  4 Zn 2.63, 4 Pd 2.63
6 Co 0.2500 0.7500 0.7500  4 Zn 2.63, 4 Pd 2.63
7 Co 0.7500 0.2500 0.7500  4 Zn 2.63, 4 Pd 2.63
8 Co 0.7500 0.7500 0.2500  4 Pd 2.63, 4 Zn 2.63
9 Pd 0.0000 0.0000 0.5000  4 Co 2.63, 4 W 2.63
10 Pd 0.0000 0.5000 0.0000  4 Co 2.63, 4 W 2.63
11 Pd 0.5000 0.0000 0.0000  4 Co 2.63, 4 W 2.63
12 Pd 0.5000 0.5000 0.5000  4 Co 2.63, 4 W 2.63
13 W 0.2500 0.2500 0.7500  4 Pd 2.63, 4 Zn 2.63
14 W 0.2500 0.7500 0.2500  4 Pd 2.63, 4 Zn 2.63
15 W 0.7500 0.2500 0.2500  4 Pd 2.63, 4 Zn 2.63
16 W 0.7500 0.7500 0.7500  4 Pd 2.63, 4 Zn 2.63

Space group: F-43m (216)

***

It is i that is most stable; the runner-up trails by 0.184 eV/atom.

***

i.
Entry from OQMD via LeMat-Bulk: a relaxed structure of PmCoTe (PBE).

a b c (Å): 7.0527 7.0527 7.0527
angles (deg): 90.00 90.00 90.00
Last column: nearest neighbours and their distance in Å.
Fractional coordinates of all 12 atoms:
1 Pm 0.0000 0.0000 0.0000  4 Te 3.05, 4 Co 3.05
2 Pm 0.0000 0.5000 0.5000  4 Co 3.05, 4 Te 3.05
3 Pm 0.5000 0.0000 0.5000  4 Co 3.05, 4 Te 3.05
4 Pm 0.5000 0.5000 0.0000  4 Co 3.05, 4 Te 3.05
5 Co 0.2500 0.2500 0.7500  4 Pm 3.05
6 Co 0.2500 0.7500 0.2500  4 Pm 3.05
7 Co 0.7500 0.2500 0.2500  4 Pm 3.05
8 Co 0.7500 0.7500 0.7500  4 Pm 3.05
9 Te 0.2500 0.2500 0.2500  4 Pm 3.05
10 Te 0.2500 0.7500 0.7500  4 Pm 3.05
11 Te 0.7500 0.2500 0.7500  4 Pm 3.05
12 Te 0.7500 0.7500 0.2500  4 Pm 3.05

Space group: F-43m (216)

***

ii.
Entry from OQMD via LeMat-Bulk: a relaxed structure of PmCoTe (PBE).

a b c (Å): 6.4113 6.4113 6.4113
angles (deg): 90.00 90.00 90.00
Last column: nearest neighbours and their distance in Å.
Fractional coordinates of all 12 atoms:
1 Pm 0.0000 0.0000 0.0000  4 Co 2.78
2 Pm 0.0000 0.5000 0.5000  4 Co 2.78
3 Pm 0.5000 0.0000 0.5000  4 Co 2.78
4 Pm 0.5000 0.5000 0.0000  4 Co 2.78
5 Co 0.2500 0.2500 0.2500  4 Te 2.78, 4 Pm 2.78
6 Co 0.2500 0.7500 0.7500  4 Te 2.78, 4 Pm 2.78
7 Co 0.7500 0.2500 0.7500  4 Te 2.78, 4 Pm 2.78
8 Co 0.7500 0.7500 0.2500  4 Te 2.78, 4 Pm 2.78
9 Te 0.0000 0.0000 0.5000  4 Co 2.78
10 Te 0.0000 0.5000 0.0000  4 Co 2.78
11 Te 0.5000 0.0000 0.0000  4 Co 2.78
12 Te 0.5000 0.5000 0.5000  4 Co 2.78

Space group: F-43m (216)

***

It is ii that is most stable; the runner-up trails by 0.743 eV/atom.

***

i.
Entry from OQMD via LeMat-Bulk: a relaxed structure of Pr3Y3CoTe2 (PBE).

a b c (Å): 8.5166 8.5166 4.0708
angles (deg): 90.00 90.00 120.00
Last column: nearest neighbours and their distance in Å.
Fractional coordinates of all 9 atoms:
1 Pr 0.0000 0.4080 0.0000  4 Te 3.29, 1 Co 3.47, 4 Y 3.64
2 Pr 0.4080 0.0000 0.0000  4 Te 3.29, 1 Co 3.47, 4 Y 3.64
3 Pr 0.5920 0.5920 0.0000  4 Te 3.29, 1 Co 3.47, 4 Y 3.64
4 Y 0.0000 0.7691 0.5000  2 Co 2.83
5 Y 0.2309 0.2309 0.5000  2 Co 2.83
6 Y 0.7691 0.0000 0.5000  2 Co 2.83
7 Co 0.0000 0.0000 0.0000  6 Y 2.83
8 Te 0.3333 0.6667 0.5000  6 Pr 3.29, 3 Y 3.36
9 Te 0.6667 0.3333 0.5000  6 Pr 3.29, 3 Y 3.36

Space group: P-62m (189)

***

ii.
Entry from OQMD via LeMat-Bulk: a relaxed structure of Pr3Y3CoTe2 (PBE).

a b c (Å): 8.6563 8.6563 3.9067
angles (deg): 90.00 90.00 120.00
Last column: nearest neighbours and their distance in Å.
Fractional coordinates of all 9 atoms:
1 Pr 0.0000 0.7604 0.0000  2 Co 2.85
2 Pr 0.2396 0.2396 0.0000  2 Co 2.85
3 Pr 0.7604 0.0000 0.0000  2 Co 2.85
4 Y 0.0000 0.4090 0.5000  4 Te 3.27, 1 Co 3.54, 6 Pr 3.62-3.65
5 Y 0.4090 0.0000 0.5000  4 Te 3.27, 1 Co 3.54, 6 Pr 3.62-3.65
6 Y 0.5910 0.5910 0.5000  4 Te 3.27, 1 Co 3.54, 6 Pr 3.62-3.65
7 Co 0.0000 0.0000 0.5000  6 Pr 2.85
8 Te 0.3333 0.6667 0.0000  6 Y 3.27, 3 Pr 3.37
9 Te 0.6667 0.3333 0.0000  6 Y 3.27, 3 Pr 3.37

Space group: P-62m (189)

***

It is i that is most stable; the runner-up trails by 0.092 eV/atom.

***

i.
Entry from OQMD via LeMat-Bulk: a relaxed structure of RbCoPt (PBE).

a b c (Å): 6.9275 6.9275 6.9275
angles (deg): 90.00 90.00 90.00
Last column: nearest neighbours and their distance in Å.
Fractional coordinates of all 12 atoms:
1 Rb 0.0000 0.0000 0.0000  4 Co 3.00, 4 Pt 3.00
2 Rb 0.0000 0.5000 0.5000  4 Co 3.00, 4 Pt 3.00
3 Rb 0.5000 0.0000 0.5000  4 Co 3.00, 4 Pt 3.00
4 Rb 0.5000 0.5000 0.0000  4 Co 3.00, 4 Pt 3.00
5 Co 0.2500 0.2500 0.7500  4 Rb 3.00
6 Co 0.2500 0.7500 0.2500  4 Rb 3.00
7 Co 0.7500 0.2500 0.2500  4 Rb 3.00
8 Co 0.7500 0.7500 0.7500  4 Rb 3.00
9 Pt 0.2500 0.2500 0.2500  4 Rb 3.00
10 Pt 0.2500 0.7500 0.7500  4 Rb 3.00
11 Pt 0.7500 0.2500 0.7500  4 Rb 3.00
12 Pt 0.7500 0.7500 0.2500  4 Rb 3.00

Space group: F-43m (216)

***

ii.
Entry from OQMD via LeMat-Bulk: a relaxed structure of RbCoPt (PBE).

a b c (Å): 6.5696 6.5696 6.5696
angles (deg): 90.00 90.00 90.00
Last column: nearest neighbours and their distance in Å.
Fractional coordinates of all 12 atoms:
1 Rb 0.0000 0.0000 0.0000  4 Co 2.84
2 Rb 0.0000 0.5000 0.5000  4 Co 2.84
3 Rb 0.5000 0.0000 0.5000  4 Co 2.84
4 Rb 0.5000 0.5000 0.0000  4 Co 2.84
5 Co 0.2500 0.2500 0.7500  4 Rb 2.84, 4 Pt 2.84
6 Co 0.2500 0.7500 0.2500  4 Rb 2.84, 4 Pt 2.84
7 Co 0.7500 0.2500 0.2500  4 Rb 2.84, 4 Pt 2.84
8 Co 0.7500 0.7500 0.7500  4 Rb 2.84, 4 Pt 2.84
9 Pt 0.0000 0.0000 0.5000  4 Co 2.84
10 Pt 0.0000 0.5000 0.0000  4 Co 2.84
11 Pt 0.5000 0.0000 0.0000  4 Co 2.84
12 Pt 0.5000 0.5000 0.5000  4 Co 2.84

Space group: F-43m (216)

***

It is ii that is most stable; the runner-up trails by 0.772 eV/atom.

***

i.
Entry from OQMD via LeMat-Bulk: a relaxed structure of YCoSbPt (PBE).

a b c (Å): 6.6809 6.6809 6.6809
angles (deg): 90.00 90.00 90.00
Last column: nearest neighbours and their distance in Å.
Fractional coordinates of all 16 atoms:
1 Y 0.0000 0.0000 0.0000  4 Pt 2.89, 4 Co 2.89
2 Y 0.0000 0.5000 0.5000  4 Pt 2.89, 4 Co 2.89
3 Y 0.5000 0.0000 0.5000  4 Pt 2.89, 4 Co 2.89
4 Y 0.5000 0.5000 0.0000  4 Pt 2.89, 4 Co 2.89
5 Co 0.2500 0.2500 0.7500  4 Sb 2.89, 4 Y 2.89
6 Co 0.2500 0.7500 0.2500  4 Sb 2.89, 4 Y 2.89
7 Co 0.7500 0.2500 0.2500  4 Sb 2.89, 4 Y 2.89
8 Co 0.7500 0.7500 0.7500  4 Sb 2.89, 4 Y 2.89
9 Sb 0.0000 0.0000 0.5000  4 Co 2.89, 4 Pt 2.89
10 Sb 0.0000 0.5000 0.0000  4 Co 2.89, 4 Pt 2.89
11 Sb 0.5000 0.0000 0.0000  4 Co 2.89, 4 Pt 2.89
12 Sb 0.5000 0.5000 0.5000  4 Co 2.89, 4 Pt 2.89
13 Pt 0.2500 0.2500 0.2500  4 Sb 2.89, 4 Y 2.89
14 Pt 0.2500 0.7500 0.7500  4 Sb 2.89, 4 Y 2.89
15 Pt 0.7500 0.2500 0.7500  4 Sb 2.89, 4 Y 2.89
16 Pt 0.7500 0.7500 0.2500  4 Sb 2.89, 4 Y 2.89

Space group: F-43m (216)

***

ii.
Entry from OQMD via LeMat-Bulk: a relaxed structure of YCoSbPt (PBE).

a b c (Å): 6.7691 6.7691 6.7691
angles (deg): 90.00 90.00 90.00
Last column: nearest neighbours and their distance in Å.
Fractional coordinates of all 16 atoms:
1 Y 0.0000 0.0000 0.0000  4 Sb 2.93, 4 Pt 2.93
2 Y 0.0000 0.5000 0.5000  4 Sb 2.93, 4 Pt 2.93
3 Y 0.5000 0.0000 0.5000  4 Sb 2.93, 4 Pt 2.93
4 Y 0.5000 0.5000 0.0000  4 Sb 2.93, 4 Pt 2.93
5 Co 0.0000 0.0000 0.5000  4 Sb 2.93, 4 Pt 2.93
6 Co 0.0000 0.5000 0.0000  4 Sb 2.93, 4 Pt 2.93
7 Co 0.5000 0.0000 0.0000  4 Sb 2.93, 4 Pt 2.93
8 Co 0.5000 0.5000 0.5000  4 Sb 2.93, 4 Pt 2.93
9 Sb 0.2500 0.2500 0.2500  4 Co 2.93, 4 Y 2.93
10 Sb 0.2500 0.7500 0.7500  4 Co 2.93, 4 Y 2.93
11 Sb 0.7500 0.2500 0.7500  4 Co 2.93, 4 Y 2.93
12 Sb 0.7500 0.7500 0.2500  4 Co 2.93, 4 Y 2.93
13 Pt 0.2500 0.2500 0.7500  4 Co 2.93, 4 Y 2.93
14 Pt 0.2500 0.7500 0.2500  4 Co 2.93, 4 Y 2.93
15 Pt 0.7500 0.2500 0.2500  4 Co 2.93, 4 Y 2.93
16 Pt 0.7500 0.7500 0.7500  4 Co 2.93, 4 Y 2.93

Space group: F-43m (216)

***

It is i that is most stable; the runner-up trails by 0.178 eV/atom.

***

i.
Entry from OQMD via LeMat-Bulk: a relaxed structure of ScTlCoPt (PBE).

a b c (Å): 6.5033 6.5033 6.5033
angles (deg): 90.00 90.00 90.00
Last column: nearest neighbours and their distance in Å.
Fractional coordinates of all 16 atoms:
1 Sc 0.0000 0.0000 0.0000  4 Tl 2.82, 4 Pt 2.82
2 Sc 0.0000 0.5000 0.5000  4 Tl 2.82, 4 Pt 2.82
3 Sc 0.5000 0.0000 0.5000  4 Tl 2.82, 4 Pt 2.82
4 Sc 0.5000 0.5000 0.0000  4 Tl 2.82, 4 Pt 2.82
5 Tl 0.2500 0.2500 0.2500  4 Co 2.82, 4 Sc 2.82
6 Tl 0.2500 0.7500 0.7500  4 Co 2.82, 4 Sc 2.82
7 Tl 0.7500 0.2500 0.7500  4 Co 2.82, 4 Sc 2.82
8 Tl 0.7500 0.7500 0.2500  4 Co 2.82, 4 Sc 2.82
9 Co 0.0000 0.0000 0.5000  4 Pt 2.82, 4 Tl 2.82
10 Co 0.0000 0.5000 0.0000  4 Pt 2.82, 4 Tl 2.82
11 Co 0.5000 0.0000 0.0000  4 Pt 2.82, 4 Tl 2.82
12 Co 0.5000 0.5000 0.5000  4 Pt 2.82, 4 Tl 2.82
13 Pt 0.2500 0.2500 0.7500  4 Co 2.82, 4 Sc 2.82
14 Pt 0.2500 0.7500 0.2500  4 Co 2.82, 4 Sc 2.82
15 Pt 0.7500 0.2500 0.2500  4 Co 2.82, 4 Sc 2.82
16 Pt 0.7500 0.7500 0.7500  4 Sc 2.82, 4 Co 2.82

Space group: F-43m (216)

***

ii.
Entry from OQMD via LeMat-Bulk: a relaxed structure of ScTlCoPt (PBE).

a b c (Å): 6.5019 6.5019 6.5019
angles (deg): 90.00 90.00 90.00
Last column: nearest neighbours and their distance in Å.
Fractional coordinates of all 16 atoms:
1 Sc 0.0000 0.0000 0.0000  4 Co 2.82, 4 Pt 2.82
2 Sc 0.0000 0.5000 0.5000  4 Co 2.82, 4 Pt 2.82
3 Sc 0.5000 0.0000 0.5000  4 Co 2.82, 4 Pt 2.82
4 Sc 0.5000 0.5000 0.0000  4 Co 2.82, 4 Pt 2.82
5 Tl 0.0000 0.0000 0.5000  4 Co 2.82, 4 Pt 2.82
6 Tl 0.0000 0.5000 0.0000  4 Co 2.82, 4 Pt 2.82
7 Tl 0.5000 0.0000 0.0000  4 Co 2.82, 4 Pt 2.82
8 Tl 0.5000 0.5000 0.5000  4 Co 2.82, 4 Pt 2.82
9 Co 0.2500 0.2500 0.7500  4 Tl 2.82, 4 Sc 2.82
10 Co 0.2500 0.7500 0.2500  4 Tl 2.82, 4 Sc 2.82
11 Co 0.7500 0.2500 0.2500  4 Tl 2.82, 4 Sc 2.82
12 Co 0.7500 0.7500 0.7500  4 Sc 2.82, 4 Tl 2.82
13 Pt 0.2500 0.2500 0.2500  4 Tl 2.82, 4 Sc 2.82
14 Pt 0.2500 0.7500 0.7500  4 Tl 2.82, 4 Sc 2.82
15 Pt 0.7500 0.2500 0.7500  4 Tl 2.82, 4 Sc 2.82
16 Pt 0.7500 0.7500 0.2500  4 Tl 2.82, 4 Sc 2.82

Space group: F-43m (216)

***

It is ii that is most stable; the runner-up trails by 0.171 eV/atom.